1.
A plane-wave DFT calculation with GGA-PBEsol was carried out for an optimized crystal structure of CoHgTe2.

## Properties
Energy relative to the elements, uncorrected in meV per atom: -135

Lattice parameters (Å, degrees): 6.4412 3.7015 8.0486 90.00 104.91 90.00
Space group C2/m (No. 12)
One atom of each set of equivalent atoms:
Co  0.0000  0.0000  0.0000 x2
Hg  0.0000  0.5000  0.5000 x2
Te  0.2222  0.5000  0.1704 x4

***

2.
A plane-wave DFT calculation with GGA-PBEsol was carried out for an optimized crystal structure of AlB2OF.

## Properties
Energy relative to the elements, uncorrected in meV per atom: 1088

Lattice parameters (Å, degrees): 3.3055 3.3055 4.7289 90.00 90.00 90.00
Space group P4/mmm (No. 123)
One atom of each set of equivalent atoms:
Al  0.0000  0.0000  0.0000 x1
B  0.0000  0.5000  0.5000 x2
O  0.5000  0.5000  0.0000 x1
F  0.5000  0.5000  0.5000 x1

***

3.
A plane-wave DFT calculation with GGA-PBEsol was carried out for an optimized crystal structure of MgZr2Mo.

## Properties
Distance to the lowest polymorph of the same formula in meV/atom: 12

Lattice parameters (Å, degrees): 4.7085 4.8415 6.7782 90.00 90.00 90.00
Space group Immm (No. 71)
One atom of each set of equivalent atoms:
Mg  0.0000  0.0000  0.0000 x2
Zr  0.0000  0.5000  0.2455 x4
Mo  0.0000  0.0000  0.5000 x2